1.
The following is a PBE-GGA calculation of LaBe2SbH after structural relaxation, from Alexandria.

abc: 4.4040 4.3918 4.4040
angles: 90.00 90.00 90.00
Fractional coordinates of all 5 atoms:
Sb  0.5000  0.5000  0.5000
Be  0.0000  0.0000  0.5000
Be  0.5000  0.0000  0.0000
H  0.0000  0.0000  0.0000
La  0.0000  0.5000  0.0000

Calculated values
* total moment: 0.000 Bohr magnetons per cell

=====

2.
The following is a PBE-GGA calculation of LaBeHSe2 after structural relaxation, from Alexandria.

abc: 5.7520 4.2457 5.7520
angles: 90.00 90.00 90.00
Fractional coordinates of all 5 atoms:
Be  0.5000  0.5000  0.5000
H  0.0000  0.5000  0.0000
Se  0.0000  0.0000  0.5000
Se  0.5000  0.0000  0.0000
La  0.0000  0.0000  0.0000

Calculated values
* total moment: 0.001 Bohr magnetons per cell

=====

3.
The following is a PBE-GGA calculation of La2BeSnH after structural relaxation, from Alexandria.

abc: 5.0524 5.0524 4.2626
angles: 90.00 90.00 90.00
Fractional coordinates of all 5 atoms:
Be  0.0000  0.0000  0.5000
Sn  0.5000  0.5000  0.5000
H  0.0000  0.0000  0.0000
La  0.0000  0.5000  0.0000
La  0.5000  0.0000  0.0000

Calculated values
* total moment: 0.000 Bohr magnetons per cell

=====

E? In order: -0.141; -0.134; -0.163 hartree per atom.
DOS(E_F)? In order: 1.899; 2.178; 3.367 states/eV per cell.